Below is an optimized crystal structure of La2TaCl, with properties calculated at the GGA-PBE level.

Cell lengths 3.3598, 3.3598, 10.6768 Å; angles 90.00, 90.00, 120.63 degrees
Closest atoms and distances in Å follow each position.
Sites, in units of the cell vectors:
La: 0.0000 0.0000 0.0000  2 Cl 3.07, 6 La 3.33-3.36
La: 0.5000 0.5000 0.3235  2 Ta 3.06, 6 La 3.33-3.36
Ta: 0.0000 0.0000 0.5644  2 Cl 2.65
Cl: 0.5000 0.5000 0.7579  2 Ta 2.65

Results
Uncorrected formation energy ... 0.06 eV/atom
Volume ... 25.93 A^3/atom